Record 1
A plane-wave DFT calculation with PBE-GGA was carried out for a relaxed MgTiFe3 crystal.

Cell and atoms, written as CIF:
```
data_MgTiFe3
_chemical_formula_sum 'Mg1 Ti1 Fe3'
_cell_length_a 4.373
_cell_length_b 4.373
_cell_length_c 4.373
_cell_angle_alpha 90.00
_cell_angle_beta 90.00
_cell_angle_gamma 90.00
_symmetry_space_group_name_H-M 'P m -3 m'
_symmetry_Int_Tables_number 221
_symmetry_space_group_name_Hall '-P 4 2 3'
loop_
_atom_site_label
_atom_site_type_symbol
_atom_site_fract_x
_atom_site_fract_y
_atom_site_fract_z
Mg1 Mg 0.000 0.000 0.000
Ti1 Ti 0.500 0.500 0.500
Fe1 Fe 0.000 0.500 0.500
```

Computed properties:
The value obtained for the size of the total moment is 4.9 Bohr magnetons per cell. Its polymorph energy (0 for the lowest one) is 0.000 eV/atom. The formation energy comes out at 888 meV/atom. The value obtained for the theoretical density is 4.76 g/cm³. As for the crystal system: cubic.



Record 2
A plane-wave DFT calculation with PBE-GGA was carried out for a relaxed Mg14TiFe crystal.

Cell and atoms, written as CIF:
```
data_Mg14TiFe
_chemical_formula_sum 'Mg14 Ti1 Fe1'
_cell_length_a 6.2714
_cell_length_b 6.2714
_cell_length_c 9.9542
_cell_angle_alpha 90.00
_cell_angle_beta 90.00
_cell_angle_gamma 120.00
_symmetry_space_group_name_H-M 'P -6 m 2'
_symmetry_Int_Tables_number 187
_symmetry_space_group_name_Hall 'P -6 2'
loop_
_atom_site_label
_atom_site_type_symbol
_atom_site_fract_x
_atom_site_fract_y
_atom_site_fract_z
Mg1 Mg 0.0000 0.0000 0.2440
Mg2 Mg 0.0142 0.5071 0.2563
Mg3 Mg 0.3305 0.1653 0.5000
Mg4 Mg 0.3399 0.1700 0.0000
Ti1 Ti 0.3333 0.6667 0.0000
Fe1 Fe 0.3333 0.6667 0.5000
```

Computed properties:
The value obtained for the size of the total moment is 3.7 Bohr magnetons per cell. Its polymorph energy (0 for the lowest one) is 0.015 eV/atom. The formation energy comes out at 110 meV/atom. The value obtained for the theoretical density is 2.17 g/cm³. As for the crystal system: hexagonal.



Record 3
A plane-wave DFT calculation with PBE-GGA was carried out for a relaxed MgTi2Fe2 crystal.

Cell and atoms, written as CIF:
```
data_MgTi2Fe2
_chemical_formula_sum 'Mg2 Ti4 Fe4'
_cell_length_a 7.205
_cell_length_b 7.205
_cell_length_c 2.816
_cell_angle_alpha 90.00
_cell_angle_beta 90.00
_cell_angle_gamma 90.00
_symmetry_space_group_name_H-M 'P 4/m b m'
_symmetry_Int_Tables_number 127
_symmetry_space_group_name_Hall '-P 4 2ab'
loop_
_atom_site_label
_atom_site_type_symbol
_atom_site_fract_x
_atom_site_fract_y
_atom_site_fract_z
Mg1 Mg 0.000 0.000 0.000
Ti1 Ti 0.140 0.360 0.000
Fe1 Fe 0.153 0.653 0.500
```

Computed properties:
The value obtained for the size of the total moment is 1.1 Bohr magnetons per cell. Its polymorph energy (0 for the lowest one) is 0.104 eV/atom. The formation energy comes out at 31 meV/atom. The value obtained for the theoretical density is 5.26 g/cm³. As for the crystal system: tetragonal.



Record 4
A plane-wave DFT calculation with PBE-GGA was carried out for a relaxed Mg6TiFe crystal.

Cell and atoms, written as CIF:
```
data_Mg6TiFe
_chemical_formula_sum 'Mg12 Ti2 Fe2'
_cell_length_a 4.779
_cell_length_b 6.063
_cell_length_c 10.946
_cell_angle_alpha 90.00
_cell_angle_beta 90.00
_cell_angle_gamma 90.00
_symmetry_space_group_name_H-M 'A m m 2'
_symmetry_Int_Tables_number 38
_symmetry_space_group_name_Hall 'A 2 -2'
loop_
_atom_site_label
_atom_site_type_symbol
_atom_site_fract_x
_atom_site_fract_y
_atom_site_fract_z
Mg1 Mg 0.000 0.000 0.000
Mg2 Mg 0.000 0.241 0.253
Mg3 Mg 0.500 0.000 0.839
Mg4 Mg 0.500 0.241 0.594
Ti1 Ti 0.500 0.000 0.363
Fe1 Fe 0.000 0.000 0.478
```

Computed properties:
The value obtained for the size of the total moment is 1.6 Bohr magnetons per cell. Its polymorph energy (0 for the lowest one) is 0.000 eV/atom. The formation energy comes out at 159 meV/atom. The value obtained for the theoretical density is 2.61 g/cm³. As for the crystal system: orthorhombic.



Record 5
A plane-wave DFT calculation with PBE-GGA was carried out for a relaxed MgTiFe2 crystal.

Cell and atoms, written as CIF:
```
data_MgTiFe2
_chemical_formula_sum 'Mg4 Ti4 Fe8'
_cell_length_a 3.731
_cell_length_b 3.731
_cell_length_c 17.912
_cell_angle_alpha 90.00
_cell_angle_beta 90.00
_cell_angle_gamma 90.00
_symmetry_space_group_name_H-M 'I -4 2 d'
_symmetry_Int_Tables_number 122
_symmetry_space_group_name_Hall 'I -4 2bw'
loop_
_atom_site_label
_atom_site_type_symbol
_atom_site_fract_x
_atom_site_fract_y
_atom_site_fract_z
Mg1 Mg 0.000 0.000 0.000
Ti1 Ti 0.000 0.000 0.500
Fe1 Fe 0.238 0.250 0.625
```

Computed properties:
The value obtained for the size of the total moment is 16.7 Bohr magnetons per cell. The formation energy comes out at 592 meV/atom. The value obtained for the theoretical density is 4.90 g/cm³. As for the crystal system: tetragonal.



Record 6
A plane-wave DFT calculation with PBE-GGA was carried out for a relaxed Mg14TiFe crystal.

Cell and atoms, written as CIF:
```
data_Mg14TiFe
_chemical_formula_sum 'Mg28 Ti2 Fe2'
_cell_length_a 10.115
_cell_length_b 6.149
_cell_length_c 10.927
_cell_angle_alpha 90.00
_cell_angle_beta 90.00
_cell_angle_gamma 90.00
_symmetry_space_group_name_H-M 'A m m 2'
_symmetry_Int_Tables_number 38
_symmetry_space_group_name_Hall 'A 2 -2'
loop_
_atom_site_label
_atom_site_type_symbol
_atom_site_fract_x
_atom_site_fract_y
_atom_site_fract_z
Mg1 Mg 0.000 0.000 0.000
Mg2 Mg 0.000 0.000 0.499
Mg3 Mg 0.000 0.248 0.251
Mg4 Mg 0.251 0.000 0.662
Mg5 Mg 0.264 0.248 0.918
Mg6 Mg 0.265 0.000 0.158
Mg7 Mg 0.500 0.246 0.752
Ti1 Ti 0.500 0.000 0.506
Fe1 Fe 0.500 0.000 0.002
```

Computed properties:
The value obtained for the size of the total moment is 1.1 Bohr magnetons per cell. Its polymorph energy (0 for the lowest one) is 0.000 eV/atom. The formation energy comes out at 95 meV/atom. The value obtained for the theoretical density is 2.17 g/cm³. As for the crystal system: orthorhombic.



Record 7
A plane-wave DFT calculation with PBE-GGA was carried out for a relaxed MgZrTi2Fe crystal.

Cell and atoms, written as CIF:
```
data_MgZrTi2Fe
_chemical_formula_sum 'Mg1 Zr1 Ti2 Fe1'
_cell_length_a 4.912
_cell_length_b 4.912
_cell_length_c 4.530
_cell_angle_alpha 90.00
_cell_angle_beta 90.00
_cell_angle_gamma 90.00
_symmetry_space_group_name_H-M 'P 4/m m m'
_symmetry_Int_Tables_number 123
_symmetry_space_group_name_Hall '-P 4 2'
loop_
_atom_site_label
_atom_site_type_symbol
_atom_site_fract_x
_atom_site_fract_y
_atom_site_fract_z
Mg1 Mg 0.000 0.000 0.000
Zr1 Zr 0.500 0.500 0.500
Ti1 Ti 0.000 0.500 0.500
Fe1 Fe 0.500 0.500 0.000
```

Computed properties:
The value obtained for the size of the total moment is 0.7 Bohr magnetons per cell. The formation energy comes out at 1105 meV/atom. The value obtained for the theoretical density is 4.06 g/cm³. As for the crystal system: tetragonal.



Record 8
A plane-wave DFT calculation with PBE-GGA was carried out for a relaxed MgTlFe2 crystal.

Cell and atoms, written as CIF:
```
data_MgTlFe2
_chemical_formula_sum 'Mg4 Tl4 Fe8'
_cell_length_a 7.292
_cell_length_b 7.292
_cell_length_c 5.452
_cell_angle_alpha 90.00
_cell_angle_beta 90.00
_cell_angle_gamma 90.00
_symmetry_space_group_name_H-M 'I -4 2 d'
_symmetry_Int_Tables_number 122
_symmetry_space_group_name_Hall 'I -4 2bw'
loop_
_atom_site_label
_atom_site_type_symbol
_atom_site_fract_x
_atom_site_fract_y
_atom_site_fract_z
Mg1 Mg 0.000 0.000 0.000
Tl1 Tl 0.000 0.000 0.500
Fe1 Fe 0.249 0.250 0.125
```

Computed properties:
The value obtained for the size of the total moment is 20.0 Bohr magnetons per cell. The formation energy comes out at 713 meV/atom. The value obtained for the theoretical density is 7.80 g/cm³. As for the crystal system: tetragonal.



Record 9
A plane-wave DFT calculation with PBE-GGA was carried out for a relaxed Mg4TlFe crystal.

Cell and atoms, written as CIF:
```
data_Mg4TlFe
_chemical_formula_sum 'Mg16 Tl4 Fe4'
_cell_length_a 8.087
_cell_length_b 8.087
_cell_length_c 8.087
_cell_angle_alpha 90.00
_cell_angle_beta 90.00
_cell_angle_gamma 90.00
_symmetry_space_group_name_H-M 'F -4 3 m'
_symmetry_Int_Tables_number 216
_symmetry_space_group_name_Hall 'F -4 2 3'
loop_
_atom_site_label
_atom_site_type_symbol
_atom_site_fract_x
_atom_site_fract_y
_atom_site_fract_z
Mg1 Mg 0.124 0.124 0.376
Tl1 Tl 0.000 0.000 0.000
Fe1 Fe 0.250 0.250 0.750
```

Computed properties:
The value obtained for the size of the total moment is 11.3 Bohr magnetons per cell. The formation energy comes out at 406 meV/atom. The value obtained for the theoretical density is 4.49 g/cm³. As for the crystal system: cubic.



Record 10
A plane-wave DFT calculation with PBE-GGA was carried out for a relaxed MgTlFe2 crystal.

Cell and atoms, written as CIF:
```
data_MgTlFe2
_chemical_formula_sum 'Mg1 Tl1 Fe2'
_cell_length_a 3.364
_cell_length_b 3.364
_cell_length_c 5.819
_cell_angle_alpha 90.00
_cell_angle_beta 90.00
_cell_angle_gamma 90.00
_symmetry_space_group_name_H-M 'P 4/m m m'
_symmetry_Int_Tables_number 123
_symmetry_space_group_name_Hall '-P 4 2'
loop_
_atom_site_label
_atom_site_type_symbol
_atom_site_fract_x
_atom_site_fract_y
_atom_site_fract_z
Mg1 Mg 0.000 0.000 0.000
Tl1 Tl 0.000 0.000 0.500
Fe1 Fe 0.500 0.500 0.222
```

Computed properties:
The value obtained for the size of the total moment is 4.8 Bohr magnetons per cell. The formation energy comes out at 470 meV/atom. The value obtained for the theoretical density is 8.58 g/cm³. As for the crystal system: tetragonal.



Record 11
A plane-wave DFT calculation with PBE-GGA was carried out for a relaxed MgTlFe2 crystal.

Cell and atoms, written as CIF:
```
data_MgTlFe2
_chemical_formula_sum 'Mg1 Tl1 Fe2'
_cell_length_a 3.179
_cell_length_b 3.179
_cell_length_c 6.774
_cell_angle_alpha 90.00
_cell_angle_beta 90.00
_cell_angle_gamma 90.00
_symmetry_space_group_name_H-M 'P 4 m m'
_symmetry_Int_Tables_number 99
_symmetry_space_group_name_Hall 'P 4 -2'
loop_
_atom_site_label
_atom_site_type_symbol
_atom_site_fract_x
_atom_site_fract_y
_atom_site_fract_z
Mg1 Mg 0.000 0.000 0.000
Tl1 Tl 0.500 0.500 0.324
Fe1 Fe 0.000 0.000 0.602
Fe2 Fe 0.500 0.500 0.752
```

Computed properties:
The value obtained for the size of the total moment is 5.1 Bohr magnetons per cell. The formation energy comes out at 230 meV/atom. The value obtained for the theoretical density is 8.26 g/cm³. As for the crystal system: tetragonal.



Record 12
A plane-wave DFT calculation with PBE-GGA was carried out for a relaxed Mg2TlFe2 crystal.

Cell and atoms, written as CIF:
```
data_Mg2TlFe2
_chemical_formula_sum 'Mg4 Tl2 Fe4'
_cell_length_a 6.830
_cell_length_b 6.830
_cell_length_c 3.841
_cell_angle_alpha 90.00
_cell_angle_beta 90.00
_cell_angle_gamma 90.00
_symmetry_space_group_name_H-M 'P 4/m b m'
_symmetry_Int_Tables_number 127
_symmetry_space_group_name_Hall '-P 4 2ab'
loop_
_atom_site_label
_atom_site_type_symbol
_atom_site_fract_x
_atom_site_fract_y
_atom_site_fract_z
Mg1 Mg 0.168 0.332 0.000
Tl1 Tl 0.000 0.000 0.500
Fe1 Fe 0.117 0.617 0.500
```

Computed properties:
The value obtained for the size of the total moment is 8.2 Bohr magnetons per cell. Its polymorph energy (0 for the lowest one) is 0.000 eV/atom. The formation energy comes out at 270 meV/atom. The value obtained for the theoretical density is 6.76 g/cm³. As for the crystal system: tetragonal.



Record 13
A plane-wave DFT calculation with PBE-GGA was carried out for a relaxed MgTlFe2 crystal.

Cell and atoms, written as CIF:
```
data_MgTlFe2
_chemical_formula_sum 'Mg1 Tl1 Fe2'
_cell_length_a 3.940
_cell_length_b 3.940
_cell_length_c 4.200
_cell_angle_alpha 90.00
_cell_angle_beta 90.00
_cell_angle_gamma 90.00
_symmetry_space_group_name_H-M 'P 4/m m m'
_symmetry_Int_Tables_number 123
_symmetry_space_group_name_Hall '-P 4 2'
loop_
_atom_site_label
_atom_site_type_symbol
_atom_site_fract_x
_atom_site_fract_y
_atom_site_fract_z
Mg1 Mg 0.000 0.000 0.000
Tl1 Tl 0.500 0.500 0.000
Fe1 Fe 0.000 0.500 0.500
```

Computed properties:
The value obtained for the size of the total moment is 5.0 Bohr magnetons per cell. The formation energy comes out at 385 meV/atom. The value obtained for the theoretical density is 8.67 g/cm³. As for the crystal system: tetragonal.